{
  "formula": "Rb2CrO2",
  "functional": "GGA+U",
  "state": "optimized geometry",
  "lattice_angstrom": [[-3.393, 5.106, 3.037], [3.393, -5.106, 3.037], [3.393, 5.106, -3.037]],
  "species": ["Rb", "Rb", "Rb", "Rb", "Cr", "Cr", "O", "O", "O", "O"],
  "frac_coords": [[0.163, 0.108, 0.271], [0.337, 0.608, 0.945], [0.663, 0.392, 0.055], [0.837, 0.892, 0.729], [0.250, 0.750, 0.500], [0.750, 0.250, 0.500], [0.060, 0.690, 0.751], [0.440, 0.190, 0.630], [0.560, 0.810, 0.370], [0.940, 0.310, 0.249]],
  "sg": "Ibam (72)",
  "total_energy_ev_per_fu": -25.432,
  "magmom_total_mub_per_atom": 0.80
}